[1]
Nd4Ho2Tm3 after structural relaxation. Source: Alexandria via LeMat-Bulk, functional PBE-GGA.

Cell lengths 7.052, 9.791, 9.791 Å; angles 59.81, 89.98, 89.98 degrees
Positions (direct):
Nd (0.501, 0.471, 0.850)
Ho (0.001, 0.529, 0.820)
Tm (0.750, 0.170, 0.171)
Ho (0.999, 0.471, 0.180)
Nd (0.000, 0.181, 0.850)
Nd (0.500, 0.150, 0.819)
Tm (0.750, 0.500, 0.500)
Ho (0.499, 0.180, 0.471)
Tm (0.250, 0.171, 0.170)
Tm (0.250, 0.500, 0.500)
Nd (0.499, 0.529, 0.150)
Nd (0.001, 0.850, 0.471)
Ho (0.501, 0.820, 0.529)
Nd (0.500, 0.850, 0.181)
Tm (0.250, 0.830, 0.829)
Tm (0.750, 0.829, 0.830)
Nd (0.000, 0.819, 0.150)
Nd (0.999, 0.150, 0.529)

Calculated values
The value obtained for the excess energy over the best structure of this formula in the dataset is 24 meV/atom. The calculation puts the formation energy from the elements at 0.0445 eV/atom. The space-group type is No. 15. The calculation puts the magnetization at 0.00 μB/f.u. Its crystal system is monoclinic.

[2]
Nd4Ho3Tm5 after structural relaxation. Source: Alexandria via LeMat-Bulk, functional PBE-GGA.

Cell lengths 5.906, 8.539, 9.612 Å; angles 105.04, 72.11, 69.77 degrees
Last column: magnetic moment on the atom in μB.
Positions (direct):
Ho (0.526, 0.689, 0.259)  0.01
Ho (0.474, 0.311, 0.741)  0.01
Ho (0.000, 0.500, 0.500)  0.22
Nd (0.137, 0.777, 0.949)  0.01
Tm (0.366, 0.065, 0.203)  0.01
Nd (0.832, 0.952, 0.384)  0.00
Tm (0.634, 0.935, 0.797)  0.01
Nd (0.863, 0.223, 0.051)  0.01
Tm (0.209, 0.461, 0.121)  0.02
Tm (0.500, 0.500, 0.500)  0.22
Tm (0.791, 0.539, 0.879)  0.02
Nd (0.168, 0.048, 0.616)  0.00

Calculated values
The calculation puts the formation energy from the elements at 0.2341 eV/atom. The space-group type is No. 12. The calculation puts the magnetization at 0.58 μB/f.u. Its crystal system is monoclinic.

| no. | D(E_F) (states/eV/f.u.) |
| --- | --- |
| 1 | 11.93 |
| 2 | 19.33 |